# 1
{"formula": "Pm6InGe2Te3", "functional": "PBE-GGA", "state": "optimized geometry", "volume_a3_per_atom": 30.5, "n_ef_per_ev_cell": 6.6, "rho_g_cm3": 6.9, "dft_energy_ev_per_atom": -5.252, "lattice": [[9.680, -2.181, 0.000], [9.680, 2.181, 0.000], [-2.297, 0.000, 8.657]], "species": ["Pm", "Pm", "Pm", "Pm", "Pm", "Pm", "In", "Ge", "Ge", "Te", "Te", "Te"], "fractional_positions": [[0.007, 0.007, 0.257], [0.327, 0.327, 0.433], [0.331, 0.331, 0.898], [0.669, 0.669, 0.102], [0.673, 0.673, 0.567], [0.993, 0.993, 0.743], [0.500, 0.500, 0.000], [0.167, 0.167, 0.333], [0.833, 0.833, 0.667], [0.165, 0.165, 0.831], [0.500, 0.500, 0.500], [0.835, 0.835, 0.169]]}

=====

# 2
{"formula": "Sc3GaSi", "functional": "PBE-GGA", "state": "optimized geometry", "relative_energy_mev_per_atom": 0, "volume_a3_per_atom": 20.7, "n_ef_per_ev_cell": 21.7, "rho_g_cm3": 3.7, "lattice": [[7.575, -4.756, 0.000], [7.575, 4.756, 0.000], [-1.415, 0.000, 5.752]], "species": ["Sc", "Sc", "Sc", "Sc", "Sc", "Sc", "Sc", "Sc", "Sc", "Sc", "Sc", "Sc", "Ga", "Ga", "Ga", "Ga", "Si", "Si", "Si", "Si"], "fractional_positions": [[0.057, 0.301, 0.054], [0.123, 0.701, 0.549], [0.299, 0.877, 0.951], [0.301, 0.057, 0.554], [0.362, 0.426, 0.924], [0.426, 0.362, 0.424], [0.574, 0.638, 0.576], [0.638, 0.574, 0.076], [0.699, 0.943, 0.446], [0.701, 0.123, 0.049], [0.877, 0.299, 0.451], [0.943, 0.699, 0.946], [0.031, 0.969, 0.250], [0.305, 0.695, 0.250], [0.695, 0.305, 0.750], [0.969, 0.031, 0.750], [0.125, 0.401, 0.601], [0.401, 0.125, 0.101], [0.599, 0.875, 0.899], [0.875, 0.599, 0.399]]}

=====

# 3
{"formula": "CoCuBr4", "functional": "PBE-GGA", "state": "optimized geometry", "volume_a3_per_atom": 25.5, "n_ef_per_ev_cell": 15.8, "rho_g_cm3": 4.8, "dft_energy_ev_per_atom": -3.240, "lattice": [[-3.650, 3.652, 5.732], [3.650, -3.652, 5.732], [3.650, 3.652, -5.732]], "species": ["Co", "Co", "Cu", "Cu", "Br", "Br", "Br", "Br", "Br", "Br", "Br", "Br"], "fractional_positions": [[0.500, 0.000, 0.000], [0.500, 0.500, 0.500], [0.000, 0.000, 0.000], [0.500, 0.000, 0.500], [0.261, 0.746, 0.514], [0.268, 0.253, 0.485], [0.268, 0.254, 0.014], [0.268, 0.783, 0.015], [0.732, 0.217, 0.985], [0.732, 0.746, 0.986], [0.732, 0.747, 0.515], [0.739, 0.254, 0.486]]}

=====

# 4
{"formula": "Nd3Ho4Er5", "functional": "PBE-GGA", "state": "optimized geometry", "relative_energy_mev_per_atom": 0, "volume_a3_per_atom": 31.7, "n_ef_per_ev_cell": 15.6, "delta_e_f_ev_per_atom": 0.020, "rho_g_cm3": 8.4, "lattice": [[6.153, 0.000, 0.000], [0.019, 7.108, 0.000], [0.026, 0.008, 8.706]], "species": ["Nd", "Nd", "Nd", "Ho", "Ho", "Ho", "Ho", "Er", "Er", "Er", "Er", "Er"], "fractional_positions": [[0.000, 0.000, 0.000], [0.166, 0.251, 0.334], [0.834, 0.749, 0.666], [0.169, 0.749, 0.333], [0.333, 0.500, 0.668], [0.667, 0.500, 0.332], [0.831, 0.251, 0.667], [0.000, 0.500, 0.000], [0.335, 0.000, 0.668], [0.499, 0.749, 0.000], [0.501, 0.251, 0.000], [0.665, 0.000, 0.332]]}

=====

# 5
{"formula": "Y3Bi4Au3", "functional": "PBE-GGA", "state": "optimized geometry", "volume_a3_per_atom": 26.4, "n_ef_per_ev_cell": 0.2, "delta_e_f_ev_per_atom": -0.663, "rho_g_cm3": 10.6, "lattice": [[-5.093, 5.093, 5.093], [5.093, -5.093, 5.093], [5.093, 5.093, -5.093]], "species": ["Y", "Y", "Y", "Y", "Y", "Y", "Bi", "Bi", "Bi", "Bi", "Bi", "Bi", "Bi", "Bi", "Au", "Au", "Au", "Au", "Au", "Au"], "fractional_positions": [[0.125, 0.750, 0.875], [0.250, 0.625, 0.375], [0.375, 0.250, 0.625], [0.625, 0.375, 0.250], [0.750, 0.875, 0.125], [0.875, 0.125, 0.750], [0.000, 0.316, 0.500], [0.000, 0.816, 0.500], [0.184, 0.184, 0.184], [0.316, 0.500, 0.000], [0.500, 0.000, 0.316], [0.500, 0.000, 0.816], [0.684, 0.684, 0.684], [0.816, 0.500, 0.000], [0.125, 0.875, 0.250], [0.250, 0.125, 0.875], [0.375, 0.625, 0.750], [0.625, 0.750, 0.375], [0.750, 0.375, 0.625], [0.875, 0.250, 0.125]]}

=====

# 6
{"formula": "BaSc2Ru", "functional": "PBE-GGA", "state": "optimized geometry", "relative_energy_mev_per_atom": 0, "volume_a3_per_atom": 26.2, "n_ef_per_ev_cell": 3.2, "delta_e_f_ev_per_atom": -0.169, "rho_g_cm3": 5.2, "lattice": [[3.322, 0.000, 0.000], [0.000, 3.321, 0.000], [-0.045, 0.000, 9.501]], "species": ["Ba", "Sc", "Sc", "Ru"], "fractional_positions": [[0.000, 0.000, 0.000], [0.498, 0.500, 0.342], [0.502, 0.500, 0.658], [0.000, 0.000, 0.500]]}

=====

# 7
{"formula": "BaMn2In", "functional": "PBE-GGA", "state": "optimized geometry", "volume_a3_per_atom": 26.6, "n_ef_per_ev_cell": 3.5, "delta_e_f_ev_per_atom": 0.572, "rho_g_cm3": 5.7, "lattice": [[-2.642, 2.642, 3.806], [2.642, -2.642, 3.806], [2.642, 2.642, -3.806]], "species": ["Ba", "Mn", "Mn", "In"], "fractional_positions": [[0.000, 0.000, 0.000], [0.500, 0.500, 0.000], [0.750, 0.250, 0.500], [0.250, 0.750, 0.500]]}

=====

# 8
{"formula": "PmPuSn", "functional": "PBE-GGA", "state": "optimized geometry", "relative_energy_mev_per_atom": 309, "volume_a3_per_atom": 27.0, "n_ef_per_ev_cell": 8.0, "delta_e_f_ev_per_atom": -0.161, "rho_g_cm3": 10.4, "lattice": [[5.323, 0.000, 0.000], [-2.662, 4.610, 0.000], [0.000, 0.000, 3.306]], "species": ["Pm", "Pu", "Sn"], "fractional_positions": [[0.000, 0.000, 0.000], [0.667, 0.333, 0.000], [0.333, 0.667, 0.500]]}

=====

Sequential spin magnetization output: 0.0; 0.0; 3.7; 0.0; 0.0; 0.0; 8.6; 6.6 μB/f.u.